Record 1
A plane-wave DFT calculation with PBE was carried out for GePd2S after structural relaxation.

It has space group I-42d (No. 122), with a = 4.304 Å, b = 4.304 Å, c = 15.445 Å, α = 90.00°, β = 90.00° and γ = 90.00°. The distinct sites, in fractional coordinates, are Ge at (0.000, 0.000, 0.000), Pd at (0.234, 0.250, 0.625) and S at (0.000, 0.000, 0.500).

As for the density of states at the Fermi level: 4.5 states/eV per cell.

Record 2
A plane-wave DFT calculation with PBE was carried out for GePd5S after structural relaxation.

It has space group C2/c (No. 15), with a = 10.160 Å, b = 7.464 Å, c = 8.224 Å, α = 90.00°, β = 120.63° and γ = 90.00°. The distinct sites, in fractional coordinates, are Ge at (0.000, 0.054, 0.250), Pd at (0.000, 0.378, 0.250), Pd at (0.040, 0.187, 0.982), Pd at (0.241, 0.046, 0.789) and S at (0.000, 0.500, 0.000).

As for the density of states at the Fermi level: 9.5 states/eV per cell.

Record 3
A plane-wave DFT calculation with PBE was carried out for GePdS3 after structural relaxation.

It has space group Cmc2_1 (No. 36), with a = 3.500 Å, b = 22.861 Å, c = 6.088 Å, α = 90.00°, β = 90.00° and γ = 90.00°. The distinct sites, in fractional coordinates, are Ge at (0.000, 0.118, 0.000), Pd at (0.000, 0.329, 0.953), S at (0.000, 0.124, 0.628), S at (0.000, 0.202, 0.208) and S at (0.000, 0.441, 0.573).

Record 4
A plane-wave DFT calculation with PBE was carried out for GePdS after structural relaxation.

It has space group Amm2 (No. 38), with a = 3.755 Å, b = 3.407 Å, c = 9.478 Å, α = 90.00°, β = 90.00° and γ = 90.00°. The distinct sites, in fractional coordinates, are Ge at (0.000, 0.000, 0.000), Pd at (0.500, 0.000, 0.161) and S at (0.000, 0.000, 0.331).

As for the density of states at the Fermi level: 0.7 states/eV per cell.

Record 5
A plane-wave DFT calculation with PBE was carried out for Ge2PdS4 after structural relaxation.

It has space group I4/m (No. 87), with a = 6.870 Å, b = 6.870 Å, c = 6.467 Å, α = 90.00°, β = 90.00° and γ = 90.00°. The distinct sites, in fractional coordinates, are Ge at (0.000, 0.500, 0.250), Pd at (0.000, 0.000, 0.000) and S at (0.174, 0.296, 0.000).

As for the density of states at the Fermi level: 7.4 states/eV per cell.

Record 6
A plane-wave DFT calculation with PBE was carried out for GePd3S after structural relaxation.

It has space group Pm-3m (No. 221), with a = 4.639 Å, b = 4.639 Å, c = 4.639 Å, α = 90.00°, β = 90.00° and γ = 90.00°. The distinct sites, in fractional coordinates, are Ge at (0.000, 0.000, 0.000), Pd at (0.000, 0.000, 0.500) and S at (0.500, 0.500, 0.500).

Its energy above the lowest structure with this stoichiometry is 690 meV per atom. As for the density of states at the Fermi level: 1.5 states/eV per cell.

Number 1: E_tot -4.98 eV per atom, uncorrected formation energy -194 meV/atom. Number 2: E_tot -5.05 eV per atom, uncorrected formation energy -89 meV/atom. Number 3: E_tot -4.72 eV per atom, uncorrected formation energy -286 meV/atom. Number 4: E_tot -4.92 eV per atom, uncorrected formation energy -273 meV/atom. Number 5: E_tot -4.56 eV per atom, uncorrected formation energy -140 meV/atom. Number 6: E_tot -4.45 eV per atom, uncorrected formation energy 414 meV/atom.